A relaxed structure of MgCd2Co, computed with GGA-PBE.

Cell lengths 4.069, 4.069, 19.518 Å; angles 90.00, 90.00, 90.00 degrees
Sites, in units of the cell vectors:
Mg (0.000, 0.000, 0.000)
Mg (0.000, 0.500, 0.250)
Mg (0.500, 0.000, 0.750)
Mg (0.500, 0.500, 0.500)
Cd (0.234, 0.250, 0.625)
Cd (0.250, 0.734, 0.875)
Cd (0.250, 0.766, 0.375)
Cd (0.266, 0.250, 0.125)
Cd (0.734, 0.750, 0.125)
Cd (0.750, 0.234, 0.375)
Cd (0.750, 0.266, 0.875)
Cd (0.766, 0.750, 0.625)
Co (0.000, 0.000, 0.500)
Co (0.000, 0.500, 0.750)
Co (0.500, 0.000, 0.250)
Co (0.500, 0.500, 0.000)

Summary:
Space-group type: No. 122
Final energy, eV per cell: -35.57


A relaxed structure of MnBeSe, computed with GGA-PBE.

Cell lengths 2.951, 2.951, 5.554 Å; angles 90.00, 90.00, 120.00 degrees
Sites, in units of the cell vectors:
Mn (0.000, 0.000, 0.000)
Be (0.333, 0.667, 0.704)
Se (0.667, 0.333, 0.292)

Summary:
Distance to the lowest polymorph of the same formula, meV per atom: 154
Space-group type: No. 156


A relaxed structure of MnNi2Rh2, computed with GGA-PBE.

Cell lengths 6.488, 6.488, 3.198 Å; angles 90.00, 90.00, 90.00 degrees
Sites, in units of the cell vectors:
Mn (0.000, 0.000, 0.000)
Mn (0.500, 0.500, 0.000)
Ni (0.129, 0.371, 0.000)
Ni (0.371, 0.871, 0.000)
Ni (0.629, 0.129, 0.000)
Ni (0.871, 0.629, 0.000)
Rh (0.168, 0.668, 0.500)
Rh (0.332, 0.168, 0.500)
Rh (0.668, 0.832, 0.500)
Rh (0.832, 0.332, 0.500)

Summary:
Distance to the lowest polymorph of the same formula, meV per atom: 0
Space-group type: No. 127


A relaxed structure of TbHgPb, computed with GGA-PBE.

Cell lengths 5.000, 5.000, 3.779 Å; angles 90.00, 90.00, 120.00 degrees
Sites, in units of the cell vectors:
Tb (0.000, 0.000, 0.000)
Hg (0.333, 0.667, 0.700)
Pb (0.667, 0.333, 0.409)

Summary:
Space-group type: No. 156
Final energy, eV per cell: -9.70